No. 1
The following is a DFT calculation (PBE-GGA) of a relaxed Ag2PtW crystal.

Structure (CIF):
```
data_Ag2PtW
_cell_length_a 2.799
_cell_length_b 4.965
_cell_length_c 9.877
_cell_angle_alpha 90.00
_cell_angle_beta 90.00
_cell_angle_gamma 90.00
_symmetry_space_group_name_H-M 'I m m 2'
_symmetry_Int_Tables_number 44
_symmetry_space_group_name_Hall 'I 2 -2'
loop_
_atom_site_label
_atom_site_type_symbol
_atom_site_fract_x
_atom_site_fract_y
_atom_site_fract_z
Ag1 Ag 0.000 0.000 0.000
Ag2 Ag 0.000 0.500 0.235
Pt1 Pt 0.000 0.000 0.482
W1 W 0.000 0.500 0.761
```

Results
* calculated total energy: -5.74 eV/atom
* distance to the lowest polymorph of the same formula: 30.3 kJ/mol of atoms



No. 2
The following is a DFT calculation (PBE-GGA) of a relaxed In7Sn3 crystal.

Structure (CIF):
```
data_In7Sn3
_cell_length_a 10.7481
_cell_length_b 10.7481
_cell_length_c 5.6494
_cell_angle_alpha 90.00
_cell_angle_beta 90.00
_cell_angle_gamma 120.00
_symmetry_space_group_name_H-M 'P 63 m c'
_symmetry_Int_Tables_number 186
_symmetry_space_group_name_Hall 'P 6c -2c'
loop_
_atom_site_label
_atom_site_type_symbol
_atom_site_fract_x
_atom_site_fract_y
_atom_site_fract_z
In1 In 0.0745 0.5373 0.0000
In2 In 0.1106 0.2212 0.1565
In3 In 0.3333 0.6667 0.3516
Sn1 Sn 0.1960 0.3920 0.6451
```

Results
* calculated total energy: -3.06 eV/atom
* distance to the lowest polymorph of the same formula: 3.9 kJ/mol of atoms



No. 3
The following is a DFT calculation (PBE-GGA) of a relaxed Al2Cd2Fe crystal.

Structure (CIF):
```
data_Al2Cd2Fe
_cell_length_a 6.404
_cell_length_b 6.404
_cell_length_c 4.358
_cell_angle_alpha 90.00
_cell_angle_beta 90.00
_cell_angle_gamma 90.00
_symmetry_space_group_name_H-M 'P 4/m b m'
_symmetry_Int_Tables_number 127
_symmetry_space_group_name_Hall '-P 4 2ab'
loop_
_atom_site_label
_atom_site_type_symbol
_atom_site_fract_x
_atom_site_fract_y
_atom_site_fract_z
Al1 Al 0.157 0.343 0.000
Cd1 Cd 0.165 0.665 0.500
Fe1 Fe 0.000 0.000 0.000
```

Results
* calculated total energy: -3.20 eV/atom



No. 4
The following is a DFT calculation (PBE-GGA) of a relaxed Er2Ni3Ge5 crystal.

Structure (CIF):
```
data_Er2Ni3Ge5
_cell_length_a 4.105
_cell_length_b 23.983
_cell_length_c 6.715
_cell_angle_alpha 90.00
_cell_angle_beta 90.00
_cell_angle_gamma 90.00
_symmetry_space_group_name_H-M 'C m c 21'
_symmetry_Int_Tables_number 36
_symmetry_space_group_name_Hall 'C 2c -2'
loop_
_atom_site_label
_atom_site_type_symbol
_atom_site_fract_x
_atom_site_fract_y
_atom_site_fract_z
Er1 Er 0.000 0.023 0.000
Er2 Er 0.000 0.327 0.993
Ni1 Ni 0.000 0.106 0.729
Ni2 Ni 0.000 0.278 0.522
Ni3 Ni 0.000 0.447 0.782
Ge1 Ge 0.000 0.095 0.365
Ge2 Ge 0.000 0.203 0.805
Ge3 Ge 0.000 0.214 0.218
Ge4 Ge 0.000 0.380 0.486
Ge5 Ge 0.000 0.451 0.166
```

Results
* calculated total energy: -5.52 eV/atom
* distance to the lowest polymorph of the same formula: 4.8 kJ/mol of atoms